No. 1
PBE-GGA PmThIr, relaxed; polymorph energy (0 for the lowest one) = 73 meV per atom; V = 31.4 A^3/atom; total moment = 0.00 μB per formula unit; crystal system = trigonal
1.0
6.3649 0.0000 0.0000
0.0000 4.1319 0.0000
0.0000 -2.0659 3.5783
Ir Pm Th
1 1 1
direct
0.0096 0.0000 0.0000
0.7523 0.6667 0.3333
0.2381 0.3333 0.6667

No. 2
PBE-GGA PmTh2Ir, relaxed; polymorph energy (0 for the lowest one) = 347 meV per atom; V = 34.1 A^3/atom; total moment = 0.32 μB per formula unit; crystal system = trigonal
1.0
-0.3891 -1.8836 3.4035
1.6418 -3.5141 0.4881
9.0254 2.7055 4.7745
Ir Th Pm
1 2 1
direct
0.5000 0.5000 0.5000
0.8883 0.8883 0.3352
0.1117 0.1117 0.6648
0.0000 0.0000 0.0000

No. 3
PBE-GGA PmTh2Ir9, relaxed; raw total energy = -8.900 eV per atom; V = 18.5 A^3/atom; total moment = 0.00 μB per formula unit; crystal system = trigonal
1.0
-0.7844 -3.0666 -4.3336
-2.5940 -4.6758 0.4555
-8.8620 1.5617 -2.8238
Ir Pm Th
9 1 2
direct
0.9185 0.4188 0.2440
0.4188 0.9185 0.2440
0.5812 0.5812 0.7560
0.3327 0.3327 0.0020
0.5000 0.5000 0.5000
0.5812 0.0815 0.7560
0.6673 0.6673 0.9980
0.4188 0.4188 0.2440
0.0815 0.5812 0.7560
0.0000 0.0000 0.0000
0.1380 0.1380 0.5860
0.8620 0.8620 0.4140

No. 4
PBE-GGA PmThIr, relaxed; polymorph energy (0 for the lowest one) = 43 meV per atom; V = 27.6 A^3/atom; total moment = 0.00 μB per formula unit; crystal system = orthorhombic
1.0
-1.5708 2.5807 2.4299
-6.1986 -1.9247 -1.9631
3.7889 -4.6806 4.3310
Th Ir Pm
2 2 2
direct
0.4052 0.0801 0.9291
0.4054 0.5785 0.9292
0.7874 0.2114 0.6929
0.0232 0.4473 0.1654
0.1200 0.0441 0.3588
0.6907 0.6142 0.4995

No. 5
PBE-GGA PmTh2Ir, relaxed; polymorph energy (0 for the lowest one) = 0 meV per atom; V = 29.0 A^3/atom; total moment = 0.00 μB per formula unit; crystal system = orthorhombic
1.0
6.3506 0.0000 0.0000
0.0000 7.2848 0.0000
0.0000 0.0000 10.0299
Th Pm Ir
8 4 4
direct
0.6577 0.8210 0.5605
0.3423 0.1790 0.4395
0.1577 0.6790 0.4395
0.1577 0.6790 0.0605
0.8423 0.3210 0.5605
0.8423 0.3210 0.9395
0.6577 0.8210 0.9395
0.3423 0.1790 0.0605
0.1476 0.9623 0.7500
0.6476 0.5377 0.2500
0.3524 0.4623 0.7500
0.8524 0.0377 0.2500
0.1151 0.3895 0.2500
0.8849 0.6105 0.7500
0.6151 0.1105 0.7500
0.3849 0.8895 0.2500

No. 6
PBE-GGA PmTh2Ir, relaxed; polymorph energy (0 for the lowest one) = 116 meV per atom; V = 31.7 A^3/atom; total moment = 0.00 μB per formula unit; crystal system = trigonal
1.0
4.0067 0.0000 0.0000
2.0033 3.4699 0.0000
2.0033 1.1566 9.1280
Ir Pm Th
1 1 2
direct
0.6663 0.6663 0.0012
0.5000 0.5000 0.5000
0.0612 0.0612 0.8164
0.2726 0.2726 0.1823

No. 7
PBE-GGA PmThZnIr, relaxed; raw total energy = -6.038 eV per atom; V = 23.3 A^3/atom; total moment = 0.00 μB per formula unit; crystal system = cubic
1.0
5.0905 0.0000 0.0000
2.5452 4.4085 0.0000
2.5452 1.4695 4.1563
Ir Th Zn Pm
1 1 1 1
direct
0.5000 0.5000 0.5000
0.7500 0.7500 0.7500
0.0000 0.0000 0.0000
0.2500 0.2500 0.2500

No. 8
PBE-GGA PmTi2Ir2, relaxed; raw total energy = -8.454 eV per atom; V = 19.8 A^3/atom; total moment = 0.00 μB per formula unit; crystal system = tetragonal
1.0
-1.5046 0.4864 -3.9766
3.1458 -2.4869 -1.4944
-3.9491 -3.3488 3.3873
Ti Ir Pm
2 2 1
direct
0.7500 0.2500 0.5000
0.2500 0.7500 0.5000
0.6216 0.6216 0.2431
0.3784 0.3784 0.7569
0.0000 0.0000 0.0000

No. 9
PBE-GGA Pm2TiIr2, relaxed; raw total energy = -7.734 eV per atom; V = 22.6 A^3/atom; total moment = 0.00 μB per formula unit; crystal system = monoclinic
1.0
4.1524 0.0000 0.9841
2.1072 5.6905 0.3610
-0.0687 -0.4748 9.5419
Ti Pm Ir
2 4 4
direct
0.3343 0.9493 0.3820
0.6657 0.0507 0.6180
0.6683 0.3480 0.3153
0.3317 0.6520 0.6847
0.0685 0.7550 0.1081
0.9315 0.2450 0.8919
0.6246 0.8836 0.8672
0.3754 0.1164 0.1328
0.0726 0.2842 0.5706
0.9274 0.7158 0.4294

No. 10
PBE-GGA Pm2Ti12Ir7, relaxed; raw total energy = -8.542 eV per atom; V = 18.4 A^3/atom; total moment = 0.00 μB per formula unit; crystal system = hexagonal
1.0
4.2839 0.0000 0.0000
0.0000 8.8430 -5.1055
0.0000 0.0000 10.2111
Ir Ti Pm
7 12 2
direct
0.0000 0.3333 0.6667
0.0000 0.0381 0.7679
0.5000 0.6308 0.5723
0.0000 0.2321 0.2702
0.5000 0.4277 0.0586
0.0000 0.7298 0.9619
0.5000 0.9414 0.3692
0.5000 0.2267 0.7771
0.5000 0.2229 0.4496
0.0000 0.9583 0.2243
0.5000 0.5504 0.7733
0.0000 0.0560 0.5320
0.0000 0.4760 0.9440
0.0000 0.2660 0.0417
0.0000 0.7757 0.7340
0.5000 0.8993 0.6124
0.5000 0.3876 0.2868
0.5000 0.7132 0.1007
0.0000 0.4680 0.5240
0.5000 0.0000 0.0000
0.0000 0.6667 0.3333

No. 11
PBE-GGA PmTiIr4, relaxed; raw total energy = -8.505 eV per atom; V = 17.5 A^3/atom; total moment = 0.00 μB per formula unit; crystal system = cubic
1.0
-0.2401 -4.9789 -1.7812
4.1790 -3.2054 0.5310
-0.1749 -4.0312 3.4262
Pm Ti Ir
1 1 4
direct
0.2500 0.2500 0.2500
0.0000 0.0000 0.0000
0.6252 0.1243 0.6252
0.6252 0.6252 0.6252
0.6252 0.6252 0.1243
0.1243 0.6252 0.6252

No. 12
PBE-GGA PmTi2Ir3, relaxed; raw total energy = -8.625 eV per atom; V = 17.1 A^3/atom; total moment = 0.00 μB per formula unit; crystal system = tetragonal
1.0
-0.6393 0.7942 2.9163
2.3821 -1.7023 0.9858
6.4705 8.5304 -0.9047
Ir Ti Pm
3 2 1
direct
0.0000 0.0000 0.0000
0.0000 0.0000 0.7139
0.0000 0.0000 0.2861
0.5000 0.5000 0.1535
0.5000 0.5000 0.8465
0.5000 0.5000 0.5000

No. 13
PBE-GGA PmTiVIr2, relaxed; raw total energy = -8.573 eV per atom; V = 19.2 A^3/atom; total moment = 0.00 μB per formula unit; crystal system = tetragonal
1.0
4.2746 0.0000 0.0000
0.0000 4.2746 0.0000
-2.1373 -2.1373 5.2410
Ir Pm V Ti
2 1 1 1
direct
0.6255 0.6255 0.2510
0.3745 0.3745 0.7490
0.0000 0.0000 0.0000
0.7500 0.2500 0.5000
0.2500 0.7500 0.5000

No. 14
PBE-GGA PmTiZnIr, relaxed; raw total energy = -5.974 eV per atom; V = 19.2 A^3/atom; total moment = 0.60 μB per formula unit; crystal system = cubic
1.0
4.7737 0.0000 0.0000
2.3868 4.1341 0.0000
2.3868 1.3780 3.8977
Pm Ir Ti Zn
1 1 1 1
direct
0.2500 0.2500 0.2500
0.0000 0.0000 0.0000
0.7500 0.7500 0.7500
0.5000 0.5000 0.5000

No. 15
PBE-GGA Pm2ZrTiIr2, relaxed; raw total energy = -7.936 eV per atom; V = 23.1 A^3/atom; total moment = 0.00 μB per formula unit; crystal system = orthorhombic
1.0
6.4609 0.0000 0.0000
0.0000 6.4243 0.0000
-3.2304 -3.2121 6.6903
Pm Zr Ti Ir
4 2 2 4
direct
0.5395 0.8173 0.6345
0.9050 0.6827 0.3655
0.0950 0.3173 0.6345
0.4605 0.1827 0.3655
0.0000 0.7500 0.0000
0.0000 0.2500 0.0000
0.5000 0.7500 0.0000
0.5000 0.2500 0.0000
0.6330 0.4001 0.8002
0.3670 0.5999 0.1998
0.8328 0.0999 0.1998
0.1672 0.9001 0.8002

No. 16
PBE-GGA Pm4TlIr2, relaxed; polymorph energy (0 for the lowest one) = 0 meV per atom; V = 29.6 A^3/atom; total moment = 0.00 μB per formula unit; crystal system = trigonal
1.0
-4.0067 1.0812 -1.1687
-3.0198 -3.0484 -0.4200
-5.5551 0.8211 11.8513
Pm Tl Ir
4 1 2
direct
0.2018 0.2018 0.3947
0.7982 0.7982 0.6053
0.3930 0.3930 0.8210
0.6070 0.6070 0.1790
0.0000 0.0000 0.0000
0.0970 0.0970 0.7090
0.9030 0.9030 0.2910

No. 17
PBE-GGA Pm7Tl2Ir2, relaxed; polymorph energy (0 for the lowest one) = 0 meV per atom; V = 29.3 A^3/atom; total moment = 0.00 μB per formula unit; crystal system = orthorhombic
1.0
4.4729 0.0000 0.9593
1.3759 7.8818 4.4922
0.3732 -0.1239 9.1674
Ir Pm Tl
2 7 2
direct
0.5000 0.3439 0.6561
0.0000 0.7845 0.2155
0.1185 0.1760 0.5871
0.1740 0.7020 0.9500
0.3939 0.7162 0.4960
0.6061 0.5040 0.2838
0.8260 0.0500 0.2980
0.5000 0.0008 0.9992
0.8815 0.4129 0.8240
0.7271 0.8547 0.6912
0.2729 0.3088 0.1453

No. 18
PBE-GGA Pm6Tl5Ir, relaxed; raw total energy = -4.510 eV per atom; V = 27.9 A^3/atom; total moment = 0.00 μB per formula unit; crystal system = orthorhombic
1.0
-0.4350 -5.0596 0.9648
7.5084 0.0538 3.6569
-6.8705 4.0847 4.5108
Pm Tl Ir
6 5 1
direct
0.8448 0.6172 0.6894
0.8446 0.0722 0.6894
0.1554 0.9278 0.3106
0.5005 0.7892 0.0000
0.4995 0.2108 0.0000
0.1552 0.3828 0.3106
0.3097 0.8097 0.6194
0.6903 0.1903 0.3806
0.6549 0.6549 0.3098
0.3451 0.3451 0.6902
0.0000 0.5000 0.0000
0.0000 0.0000 0.0000

No. 19
PBE-GGA Pm2TlIr, relaxed; polymorph energy (0 for the lowest one) = 41 meV per atom; V = 29.8 A^3/atom; total moment = 0.00 μB per formula unit; crystal system = trigonal
1.0
-1.3095 3.4791 1.7891
0.6095 0.6000 4.0359
6.8776 4.8556 0.3481
Ir Tl Pm
1 1 2
direct
0.6660 0.6660 0.0020
0.5006 0.5006 0.4981
0.2697 0.2697 0.1910
0.0637 0.0637 0.8089

No. 20
PBE-GGA Pm4Tl5Ir2, relaxed; raw total energy = -4.856 eV per atom; V = 27.1 A^3/atom; total moment = 0.00 μB per formula unit; crystal system = monoclinic
1.0
3.7993 0.0000 0.0000
0.0000 8.0417 0.0671
0.0000 -0.6928 9.7505
Pm Tl Ir
4 5 2
direct
0.5000 0.1869 0.8392
0.5000 0.2110 0.4326
0.5000 0.7890 0.5674
0.5000 0.8131 0.1608
0.0000 0.5449 0.3359
0.0000 0.8469 0.8632
0.0000 0.5000 0.0000
0.0000 0.4551 0.6641
0.0000 0.1531 0.1368
0.0000 0.0773 0.6342
0.0000 0.9227 0.3658